Run 1
DFT (PBE-GGA) results for an optimized crystal structure of Hf6CoCu.

Lattice parameters (Å, degrees): 4.494 4.494 8.249 74.19 74.19 89.94
Atoms (fractional coordinates):
Co: 0.500 0.500 0.000
Hf: 0.392 0.892 0.216
Hf: 0.750 0.750 0.499
Hf: 0.892 0.392 0.216
Hf: 0.608 0.108 0.784
Hf: 0.108 0.608 0.784
Hf: 0.250 0.250 0.501
Cu: 0.000 0.000 0.000

Results
The calculation puts the size of the total moment at 0.08 μB per atom.

Run 2
DFT (PBE-GGA) results for an optimized crystal structure of Hf6CoCu.

Lattice parameters (Å, degrees): 5.938 5.976 5.990 60.08 77.32 63.88
Atoms (fractional coordinates):
Cu: 0.000 0.000 0.000
Hf: 0.748 0.063 0.394
Hf: 0.252 0.542 0.394
Hf: 0.748 0.458 0.606
Hf: 0.252 0.937 0.606
Hf: 0.255 0.256 0.000
Hf: 0.745 0.744 0.000
Co: 0.500 0.500 0.000

Results
The calculation puts the size of the total moment at 0.00 μB per atom.

The most stable of them is run 1.

Run 1
DFT (PBE-GGA) results for an optimized crystal structure of Hf6Co2Cu.

Lattice parameters (Å, degrees): 7.616 7.616 7.616 102.24 112.16 114.26
Atoms (fractional coordinates):
Hf: 0.303 0.632 0.329
Hf: 0.112 0.298 0.814
Hf: 0.697 0.026 0.329
Hf: 0.195 0.230 0.426
Hf: 0.805 0.230 0.035
Hf: 0.195 0.770 0.965
Hf: 0.484 0.298 0.186
Hf: 0.697 0.368 0.671
Hf: 0.516 0.702 0.814
Hf: 0.888 0.702 0.186
Hf: 0.805 0.770 0.574
Hf: 0.303 0.974 0.671
Co: 0.500 0.631 0.131
Co: 0.661 0.000 0.661
Co: 0.339 0.000 0.339
Co: 0.500 0.369 0.869
Cu: 0.000 0.000 0.000
Cu: 0.000 0.500 0.500

Results
The calculation puts the size of the total moment at 0.00 μB per atom.

Run 2
DFT (PBE-GGA) results for an optimized crystal structure of Hf6Co2Cu.

Lattice parameters (Å, degrees): 5.675 6.765 8.845 90.00 88.59 90.00
Atoms (fractional coordinates):
Hf: 0.829 0.643 0.561
Hf: 0.363 0.788 0.429
Hf: 0.671 0.143 0.939
Hf: 0.817 0.939 0.238
Hf: 0.183 0.061 0.762
Hf: 0.171 0.357 0.439
Hf: 0.683 0.439 0.262
Hf: 0.329 0.857 0.061
Hf: 0.317 0.561 0.738
Hf: 0.137 0.288 0.071
Hf: 0.637 0.212 0.571
Hf: 0.863 0.712 0.929
Cu: 0.000 0.000 0.500
Cu: 0.500 0.500 0.000
Co: 0.419 0.111 0.279
Co: 0.081 0.611 0.221
Co: 0.581 0.889 0.721
Co: 0.919 0.389 0.779

Results
The calculation puts the size of the total moment at 0.00 μB per atom.

The most stable of them is run 1.